A relaxed PrDy2Pt crystal. Source: Alexandria, functional GGA-PBE.

Output
**Space group**: R-3m (166)
**Calculated formation energy**: -2.09 eV per formula unit
**Volume**: 123.8 Å³/f.u.

Cell: 3.8815 3.8815 9.7469 Å, 78.51 78.51 60.00°
Positions (direct):
Dy 0.7260 0.7260 0.8219
Pt 0.0000 0.0000 0.0000
Pr 0.5000 0.5000 0.5000
Dy 0.2740 0.2740 0.1781


A relaxed PrDy4Pt4 crystal. Source: Alexandria, functional GGA-PBE.

Output
**Space group**: P4_2/n (86)
**Calculated formation energy**: -9.35 eV per formula unit
**Volume**: 240.0 Å³/f.u.

Cell: 5.7325 9.1508 9.1508 Å, 90.00 90.00 90.00°
Positions (direct):
Pr 0.5000 0.5000 0.5000
Dy 0.5802 0.8993 0.6675
Pt 0.9204 0.7071 0.1280
Pt 0.5796 0.2071 0.6280
Dy 0.0802 0.8325 0.3993
Pt 0.0796 0.1280 0.2929
Pt 0.5796 0.7929 0.3720
Pt 0.4204 0.3720 0.2071
Dy 0.0802 0.1675 0.6007
Pr 0.0000 0.0000 0.0000
Pt 0.0796 0.8720 0.7071
Dy 0.5802 0.1007 0.3325
Pt 0.9204 0.2929 0.8720
Dy 0.9198 0.6007 0.8325
Dy 0.4198 0.6675 0.1007
Dy 0.4198 0.3325 0.8993
Dy 0.9198 0.3993 0.1675
Pt 0.4204 0.6280 0.7929


A relaxed PrDyPt crystal. Source: Alexandria, functional GGA-PBE.

Output
**Space group**: Cm (8)
**Calculated formation energy**: -2.45 eV per formula unit
**Volume**: 83.3 Å³/f.u.

Cell: 3.8811 6.5825 7.2667 Å, 73.36 74.51 72.85°
Positions (direct):
Pt 0.0367 0.7291 0.1975
Dy 0.3404 0.8955 0.4238
Pt 0.3024 0.5789 0.8163
Dy 0.7537 0.3756 0.1170
Pr 0.5805 0.9538 0.8852
Pr 0.0097 0.4069 0.5737